1.
{
  "formula": "Lu4Al3Mo2C3",
  "functional": "GGA-PBE",
  "state": "optimized geometry",
  "lattice_angstrom": [[4.987, -2.913, 0.000], [4.987, 2.913, 0.000], [-3.475, 0.000, 13.966]],
  "species": ["Al", "Al", "Al", "Al", "Al", "Al", "C", "C", "C", "C", "C", "C", "Lu", "Lu", "Lu", "Lu", "Lu", "Lu", "Lu", "Lu", "Mo", "Mo", "Mo", "Mo"],
  "frac_coords": [[0.681, 0.581, 0.247], [0.160, 0.840, 0.250], [0.419, 0.319, 0.253], [0.581, 0.681, 0.747], [0.840, 0.160, 0.750], [0.319, 0.419, 0.753], [0.000, 0.500, 0.000], [0.656, 0.190, 0.000], [0.810, 0.344, 0.500], [0.500, 0.000, 0.500], [0.190, 0.656, 0.500], [0.344, 0.810, 0.000], [0.044, 0.189, 0.097], [0.700, 0.878, 0.097], [0.122, 0.300, 0.403], [0.811, 0.956, 0.403], [0.189, 0.044, 0.597], [0.878, 0.700, 0.597], [0.300, 0.122, 0.903], [0.956, 0.811, 0.903], [0.351, 0.525, 0.073], [0.475, 0.649, 0.427], [0.525, 0.351, 0.573], [0.649, 0.475, 0.927]],
  "e_tot_ev_per_atom": -6.96
}


2.
{
  "formula": "DyHoTm2C3",
  "functional": "GGA-PBE",
  "state": "optimized geometry",
  "lattice_angstrom": [[6.441, -1.831, 0.000], [6.441, 1.831, 0.000], [-2.580, 0.000, 5.454]],
  "species": ["C", "C", "C", "Dy", "Ho", "Tm", "Tm"],
  "frac_coords": [[0.000, 0.000, 0.000], [0.279, 0.279, 0.293], [0.721, 0.721, 0.707], [0.364, 0.364, 0.006], [0.636, 0.636, 0.994], [0.133, 0.133, 0.445], [0.867, 0.867, 0.554]],
  "e_tot_ev_per_atom": -6.80
}